# 1
The following is a DFT calculation (PBE-GGA) of a relaxed structure of Sr2BrCl.

```
data_Sr2BrCl
_chemical_formula_sum 'Sr2 Br1 Cl1'
_cell_length_a 4.415
_cell_length_b 4.786
_cell_length_c 7.212
_cell_angle_alpha 90.00
_cell_angle_beta 96.44
_cell_angle_gamma 90.00
_symmetry_space_group_name_H-M 'P 1 2/m 1'
_symmetry_Int_Tables_number 10
_symmetry_space_group_name_Hall '-P 2y'
loop_
_atom_site_label
_atom_site_type_symbol
_atom_site_fract_x
_atom_site_fract_y
_atom_site_fract_z
_atom_site_occupancy
Sr1 Sr 0.237 0.000 0.242 1
Br1 Br 0.500 0.500 0.500 1
Cl1 Cl 0.000 0.500 0.000 1
```

Properties
- V: 37.9 A^3/atom
- Total DFT energy (no corrections): -3.159 eV per atom
- ρ: 3.19 g cm⁻³
- ΔE_f (raw): -1.44 eV per atom

# 2
The following is a DFT calculation (PBE-GGA) of a relaxed structure of La2ZnHg.

```
data_La2ZnHg
_chemical_formula_sum 'La8 Zn4 Hg4'
_cell_length_a 7.498
_cell_length_b 7.498
_cell_length_c 7.498
_cell_angle_alpha 90.00
_cell_angle_beta 90.00
_cell_angle_gamma 90.00
_symmetry_space_group_name_H-M 'F -4 3 m'
_symmetry_Int_Tables_number 216
_symmetry_space_group_name_Hall 'F -4 2 3'
loop_
_atom_site_label
_atom_site_type_symbol
_atom_site_fract_x
_atom_site_fract_y
_atom_site_fract_z
_atom_site_occupancy
La1 La 0.000 0.000 0.000 1
La2 La 0.250 0.250 0.250 1
Zn1 Zn 0.250 0.250 0.750 1
Hg1 Hg 0.000 0.000 0.500 1
```

Properties
- V: 26.3 A^3/atom
- Energy of formation: -42 meV per atom
- Total DFT energy (no corrections): -2.900 eV per atom
- ρ: 8.57 g cm⁻³

# 3
The following is a DFT calculation (PBE-GGA) of a relaxed structure of K2LaBe.

```
data_K2LaBe
_chemical_formula_sum 'K4 La2 Be2'
_cell_length_a 21.019
_cell_length_b 3.583
_cell_length_c 4.760
_cell_angle_alpha 90.00
_cell_angle_beta 103.05
_cell_angle_gamma 90.00
_symmetry_space_group_name_H-M 'C 1 2/m 1'
_symmetry_Int_Tables_number 12
_symmetry_space_group_name_Hall '-C 2y'
loop_
_atom_site_label
_atom_site_type_symbol
_atom_site_fract_x
_atom_site_fract_y
_atom_site_fract_z
_atom_site_occupancy
K1 K 0.156 0.000 0.155 1
La1 La 0.000 0.000 0.500 1
Be1 Be 0.000 0.500 0.000 1
```

Properties
- V: 43.7 A^3/atom
- Energy of formation: 461 meV per atom
- Total DFT energy (no corrections): -2.251 eV per atom
- ρ: 2.15 g cm⁻³

# 4
The following is a DFT calculation (PBE-GGA) of a relaxed structure of Th6CoC2S3.

```
data_Th6CoC2S3
_chemical_formula_sum 'Th12 Co2 C4 S6'
_cell_length_a 17.726
_cell_length_b 3.838
_cell_length_c 8.155
_cell_angle_alpha 90.00
_cell_angle_beta 105.65
_cell_angle_gamma 90.00
_symmetry_space_group_name_H-M 'C 1 2/m 1'
_symmetry_Int_Tables_number 12
_symmetry_space_group_name_Hall '-C 2y'
loop_
_atom_site_label
_atom_site_type_symbol
_atom_site_fract_x
_atom_site_fract_y
_atom_site_fract_z
_atom_site_occupancy
Th1 Th 0.011 0.000 0.236 1
Th2 Th 0.168 0.500 0.115 1
Th3 Th 0.175 0.500 0.563 1
Co1 Co 0.000 0.500 0.000 1
C1 C 0.170 0.000 0.336 1
S1 S 0.000 0.500 0.500 1
S2 S 0.163 0.000 0.833 1
```

Properties
- V: 22.3 A^3/atom
- Total DFT energy (no corrections): -7.975 eV per atom
- ρ: 9.77 g cm⁻³
- ΔE_f (raw): -1.10 eV per atom

# 5
The following is a DFT calculation (PBE-GGA) of a relaxed structure of AcZnAg3Hg.

```
data_AcZnAg3Hg
_chemical_formula_sum 'Ac4 Zn4 Ag12 Hg4'
_cell_length_a 7.203
_cell_length_b 13.190
_cell_length_c 6.179
_cell_angle_alpha 90.00
_cell_angle_beta 90.00
_cell_angle_gamma 90.00
_symmetry_space_group_name_H-M 'C m c m'
_symmetry_Int_Tables_number 63
_symmetry_space_group_name_Hall '-C 2c 2'
loop_
_atom_site_label
_atom_site_type_symbol
_atom_site_fract_x
_atom_site_fract_y
_atom_site_fract_z
_atom_site_occupancy
Ac1 Ac 0.000 0.206 0.250 1
Zn1 Zn 0.000 0.132 0.750 1
Ag1 Ag 0.000 0.334 0.750 1
Ag2 Ag 0.193 0.000 0.000 1
Hg1 Hg 0.000 0.443 0.250 1
```

Properties
- V: 24.5 A^3/atom
- Energy of formation: -62 meV per atom
- Total DFT energy (no corrections): -2.435 eV per atom
- ρ: 9.24 g cm⁻³

# 6
The following is a DFT calculation (PBE-GGA) of a relaxed structure of ZnTc2Hg.

```
data_ZnTc2Hg
_chemical_formula_sum 'Zn1 Tc2 Hg1'
_cell_length_a 2.897
_cell_length_b 4.082
_cell_length_c 5.551
_cell_angle_alpha 90.00
_cell_angle_beta 90.00
_cell_angle_gamma 90.00
_symmetry_space_group_name_H-M 'P m m m'
_symmetry_Int_Tables_number 47
_symmetry_space_group_name_Hall '-P 2 2'
loop_
_atom_site_label
_atom_site_type_symbol
_atom_site_fract_x
_atom_site_fract_y
_atom_site_fract_z
_atom_site_occupancy
Zn1 Zn 0.000 0.000 0.000 1
Tc1 Tc 0.500 0.500 0.207 1
Hg1 Hg 0.000 0.000 0.500 1
```

Properties
- V: 16.4 A^3/atom
- Energy of formation: 447 meV per atom
- Total DFT energy (no corrections): -5.130 eV per atom
- ρ: 11.69 g cm⁻³